[1]
Computed, not measured: a relaxed structure of EuGdEr2 at the PBE level of DFT.

* energy above the lowest structure with this stoichiometry: 32 meV/atom
* magnetic moment: 0.158 μB/atom
* energy relative to the elements: 16.72 kJ per mole of atoms

CIF file:
```
data_EuGdEr2
_chemical_formula_sum 'Eu3 Gd3 Er6'
_symmetry_space_group_name_H-M 'R -3 m'
_symmetry_Int_Tables_number 166
_symmetry_space_group_name_Hall '-R 3 2"'
_cell_length_a 3.5141
_cell_length_b 3.5141
_cell_length_c 37.4084
_cell_angle_alpha 90.00
_cell_angle_beta 90.00
_cell_angle_gamma 120.00
loop_
_atom_site_label
_atom_site_type_symbol
_atom_site_fract_x
_atom_site_fract_y
_atom_site_fract_z
_atom_site_occupancy
Eu1 Eu 0.0000 0.0000 0.0000 1
Gd1 Gd 0.0000 0.0000 0.5000 1
Er1 Er 0.0000 0.0000 0.0908 1
```

[2]
Computed, not measured: a relaxed structure of EuGd4Er at the PBE level of DFT.

* magnetic moment: 6.078 μB/atom
* energy relative to the elements: 23.50 kJ per mole of atoms

CIF file:
```
data_EuGd4Er
_chemical_formula_sum 'Eu4 Gd16 Er4'
_symmetry_space_group_name_H-M 'F -4 3 m'
_symmetry_Int_Tables_number 216
_symmetry_space_group_name_Hall 'F -4 2 3'
_cell_length_a 9.446
_cell_length_b 9.446
_cell_length_c 9.446
_cell_angle_alpha 90.00
_cell_angle_beta 90.00
_cell_angle_gamma 90.00
loop_
_atom_site_label
_atom_site_type_symbol
_atom_site_fract_x
_atom_site_fract_y
_atom_site_fract_z
_atom_site_occupancy
Eu1 Eu 0.000 0.000 0.000 1
Gd1 Gd 0.123 0.123 0.377 1
Er1 Er 0.250 0.250 0.750 1
```